# 1
A relaxed CeZr2H4 crystal. Source: the Alexandria database, functional PBE.

Cell lengths 6.401, 6.401, 9.035 Å; angles 90.00, 90.00, 90.00 degrees
Space group I4_1/amd (No. 141, origin choice 2)
Symmetry-distinct sites (fractional):
Ce 0.000 0.250 0.375
Zr 0.000 0.000 0.000
H 0.000 0.046 0.773

Values from the calculation:
Raw total energy   -5.6443 eV per atom


# 2
A relaxed CeZrH crystal. Source: the Alexandria database, functional PBE.

Cell lengths 7.059, 3.339, 11.053 Å; angles 90.00, 127.01, 90.00 degrees
Space group P2_1/c (No. 14)
Symmetry-distinct sites (fractional):
Ce 0.016 0.249 0.151
Zr 0.467 0.248 0.610
H 0.287 0.749 0.640

Values from the calculation:
ΔE to the lowest computed polymorph   0.000 eV per formula unit
Raw total energy   -6.1029 eV per atom


# 3
A relaxed CeZr2H crystal. Source: the Alexandria database, functional PBE.

Cell lengths 3.031, 3.031, 8.152 Å; angles 90.00, 90.00, 90.00 degrees
Space group P4/mmm (No. 123)
Symmetry-distinct sites (fractional):
Ce 0.000 0.000 0.000
Zr 0.500 0.500 0.322
H 0.000 0.000 0.500

Values from the calculation:
ΔE to the lowest computed polymorph   0.889 eV per formula unit
Raw total energy   -6.3931 eV per atom


# 4
A relaxed Ce5Zr3H12 crystal. Source: the Alexandria database, functional PBE.

Cell lengths 12.766, 12.766, 12.766 Å; angles 90.00, 90.00, 90.00 degrees
Space group Ia-3d (No. 230)
Symmetry-distinct sites (fractional):
Ce 0.000 0.000 0.000
Ce 0.000 0.250 0.375
Zr 0.000 0.250 0.125
H 0.006 0.079 0.158

Values from the calculation:
Raw total energy   -5.0846 eV per atom


# 5
A relaxed Ce3Hf crystal. Source: the Alexandria database, functional PBE.

Cell lengths 3.079, 3.084, 10.552 Å; angles 90.00, 90.00, 90.00 degrees
Space group Pmm2 (No. 25)
Symmetry-distinct sites (fractional):
Ce 0.000 0.000 0.000
Ce 0.000 0.500 0.249
Ce 0.500 0.500 0.750
Hf 0.500 0.000 0.487

Values from the calculation:
ΔE to the lowest computed polymorph   0.360 eV per formula unit
Raw total energy   -6.7418 eV per atom
Energy relative to the elements   197 meV/atom


# 6
A relaxed Ce5Hf crystal. Source: the Alexandria database, functional PBE.

Cell lengths 4.664, 14.167, 4.694 Å; angles 90.00, 90.00, 90.00 degrees
Space group Cmmm (No. 65)
Symmetry-distinct sites (fractional):
Ce 0.000 0.000 0.000
Ce 0.000 0.169 0.500
Ce 0.000 0.337 0.000
Hf 0.000 0.500 0.500

Values from the calculation:
Raw total energy   -6.5279 eV per atom
Energy relative to the elements   76 meV/atom